1.
! OsIN2F, relaxed, DFT GGA-PBE; values from VASP
&SYSTEM
  ibrav = 0, nat = 5, ntyp = 4
/
ATOMIC_SPECIES
Os 190.23 Os.upf
F 19.00 F.upf
N 14.01 N.upf
I 126.90 I.upf
CELL_PARAMETERS angstrom
3.974 0.000 0.000
0.000 3.974 0.000
0.000 0.000 4.263
ATOMIC_POSITIONS angstrom
Os 0.000 0.000 0.000
F 0.000 0.000 2.132
N 0.000 1.987 0.000
I 1.987 1.987 2.132
N 1.987 0.000 0.000
! * raw formation energy: 0.6846 eV per atom
! * ΔE to the lowest computed polymorph: 0.209 eV per atom
! * DOS(E_F): 2.71 states/eV/cell



2.
! CsPuPb2F8, relaxed, DFT GGA-PBE; values from VASP
&SYSTEM
  ibrav = 0, nat = 12, ntyp = 4
/
ATOMIC_SPECIES
Cs 132.91 Cs.upf
F 19.00 F.upf
Pu 244.00 Pu.upf
Pb 207.20 Pb.upf
CELL_PARAMETERS angstrom
-1.152 2.848 2.944
-5.941 -2.065 -0.340
1.608 -5.631 6.082
ATOMIC_POSITIONS angstrom
Cs 0.804 -2.816 3.041
F -5.229 0.156 3.943
F -5.303 -0.219 1.201
F -2.354 1.156 4.108
F -0.257 -5.004 4.743
F -3.132 -6.004 4.578
Pu 0.000 0.000 0.000
F -0.183 -4.629 7.484
Pb -2.346 -3.812 5.842
F -1.544 -2.004 4.415
Pb -3.139 -1.036 2.844
F -3.942 -2.844 4.270
! * raw formation energy: -2.8438 eV per atom
! * DOS(E_F): 5.62 states/eV/cell



3.
! Mn2FeCo, relaxed, DFT GGA-PBE; values from VASP
&SYSTEM
  ibrav = 0, nat = 4, ntyp = 3
/
ATOMIC_SPECIES
Mn 54.94 Mn.upf
Fe 55.84 Fe.upf
Co 58.93 Co.upf
CELL_PARAMETERS angstrom
-2.798 3.072 1.082
-2.116 1.305 -3.500
0.722 -3.912 1.616
ATOMIC_POSITIONS angstrom
Mn 0.000 0.000 0.000
Fe -2.266 0.674 0.744
Mn -2.457 2.188 -1.209
Co -1.926 -0.209 -1.547
! * calculated formation energy: 0.0468 eV/atom
! * ΔE to the lowest computed polymorph: 0.037 eV per atom
! * DOS(E_F): 4.15 states/eV/cell



4.
! RbOsAu2, relaxed, DFT GGA-PBE; values from VASP
&SYSTEM
  ibrav = 0, nat = 4, ntyp = 3
/
ATOMIC_SPECIES
Au 196.97 Au.upf
Rb 85.47 Rb.upf
Os 190.23 Os.upf
CELL_PARAMETERS angstrom
4.368 -2.453 -0.093
0.077 -4.953 -0.755
1.743 -1.849 -4.318
ATOMIC_POSITIONS angstrom
Au 4.641 -6.941 -3.875
Rb 0.000 0.000 0.000
Au 1.547 -2.314 -1.292
Os 3.094 -4.627 -2.583
! * calculated formation energy: 1.2612 eV/atom
! * ΔE to the lowest computed polymorph: 0.420 eV per atom
! * DOS(E_F): 2.91 states/eV/cell



5.
! CaAg2O4, relaxed, DFT GGA-PBE; values from VASP
&SYSTEM
  ibrav = 0, nat = 14, ntyp = 3
/
ATOMIC_SPECIES
Ag 107.87 Ag.upf
O 16.00 O.upf
Ca 40.08 Ca.upf
CELL_PARAMETERS angstrom
-1.382 -6.297 1.596
-4.680 -3.323 -3.342
1.720 -4.923 -4.113
ATOMIC_POSITIONS angstrom
Ag -2.714 -9.089 -3.662
O -3.776 -7.131 -3.767
O -3.124 -9.718 -5.761
O -2.303 -8.459 -1.563
O -4.509 -10.332 -3.211
Ca 0.000 0.000 0.000
Ag -2.023 -5.940 -4.460
O -0.918 -7.846 -4.112
Ca -1.085 -3.636 -1.465
O -1.686 -5.648 -2.275
Ag -0.374 -7.428 -1.991
O -1.652 -11.046 -3.556
Ag -3.574 -6.628 -1.605
O -3.741 -12.530 -5.048
! * raw formation energy: -0.6589 eV per atom
! * ΔE to the lowest computed polymorph: 0.280 eV per atom
! * DOS(E_F): 10.35 states/eV/cell



6.
! HfIr6Os, relaxed, DFT GGA-PBE; values from VASP
&SYSTEM
  ibrav = 0, nat = 8, ntyp = 3
/
ATOMIC_SPECIES
Ir 192.22 Ir.upf
Os 190.23 Os.upf
Hf 178.49 Hf.upf
CELL_PARAMETERS angstrom
3.908 0.000 0.000
0.000 5.555 -0.035
0.000 0.035 5.555
ATOMIC_POSITIONS angstrom
Ir 1.954 2.778 -0.018
Os 1.954 2.795 2.760
Ir 0.000 4.123 1.415
Hf 1.954 0.000 0.000
Ir 0.000 1.450 1.432
Ir 0.000 4.140 4.088
Ir 0.000 1.467 4.105
Ir 1.954 0.018 2.778
! * calculated formation energy: -0.3436 eV/atom
! * DOS(E_F): 5.31 states/eV/cell



7.
! Tl5Cu4Se4, relaxed, DFT GGA-PBE; values from VASP
&SYSTEM
  ibrav = 0, nat = 13, ntyp = 3
/
ATOMIC_SPECIES
Tl 204.38 Tl.upf
Cu 63.55 Cu.upf
Se 78.96 Se.upf
CELL_PARAMETERS angstrom
3.934 0.000 1.000
1.967 8.790 0.500
-0.199 0.000 9.019
ATOMIC_POSITIONS angstrom
Tl 1.928 2.959 8.888
Cu 2.790 3.092 5.497
Se 3.399 3.012 3.105
Se 0.543 2.172 6.100
Tl 1.238 0.651 3.368
Cu 2.911 5.698 5.022
Se 2.303 5.778 7.414
Cu 4.497 4.640 7.023
Se 5.158 6.618 4.420
Cu 1.205 4.150 3.497
Tl 4.464 8.139 7.152
Tl 0.000 0.000 0.000
Tl 3.773 5.831 1.631
! * raw formation energy: -0.2215 eV per atom
! * DOS(E_F): 1.33 states/eV/cell



8.
! Ga2Ir2Os, relaxed, DFT GGA-PBE; values from VASP
&SYSTEM
  ibrav = 0, nat = 10, ntyp = 3
/
ATOMIC_SPECIES
Ga 69.72 Ga.upf
Ir 192.22 Ir.upf
Os 190.23 Os.upf
CELL_PARAMETERS angstrom
-6.372 -2.591 2.243
-1.371 -2.412 -6.682
1.216 -2.443 0.632
ATOMIC_POSITIONS angstrom
Ga -4.220 -1.964 0.529
Ir -1.369 -3.262 -3.765
Ga -6.390 -3.773 -2.290
Os 0.000 0.000 0.000
Os -3.871 -2.501 -2.220
Ir -1.744 -2.487 -0.051
Ga -1.353 -1.230 -2.149
Ir -5.158 -4.184 -0.042
Ga -3.523 -3.039 -4.968
Ir -4.783 -4.959 -3.756
! * calculated formation energy: 0.0509 eV/atom
! * DOS(E_F): 5.54 states/eV/cell



Here are the calculated M_tot numbers, same order: 0.404 5.000 1.007 2.306 3.609 0.000 0.000 0.000 (μB/f.u.).